Record 1
Crystalline LaNd4Ni at its relaxed geometry, computed with PBE-GGA.

## Properties
Total moment (μB/atom): 0.00
Electronic total energy (Ry/atom): -0.3686

Cell lengths 9.743, 9.743, 6.119 Å; angles 108.30, 108.30, 45.15 degrees
Atoms (fractional coordinates):
La  0.198  0.198  0.199
La  0.802  0.802  0.801
Nd  0.135  0.634  0.385
Nd  0.233  0.767  0.000
Nd  0.324  0.324  0.825
Nd  0.366  0.865  0.615
Nd  0.634  0.135  0.385
Nd  0.676  0.676  0.175
Nd  0.767  0.233  0.000
Nd  0.865  0.366  0.615
Ni  0.500  0.500  0.303
Ni  0.500  0.500  0.697

=====

Record 2
Crystalline LaNd2Ni3 at its relaxed geometry, computed with PBE-GGA.

## Properties
Total moment (μB/atom): 0.00
Electronic total energy (Ry/atom): -0.4097

Cell lengths 7.910, 7.910, 5.082 Å; angles 90.00, 90.00, 59.64 degrees
Atoms (fractional coordinates):
La  0.174  0.826  0.750
La  0.826  0.174  0.250
Nd  0.166  0.493  0.250
Nd  0.493  0.166  0.750
Nd  0.507  0.834  0.250
Nd  0.834  0.507  0.750
Ni  0.165  0.165  0.000
Ni  0.165  0.165  0.500
Ni  0.500  0.500  0.000
Ni  0.500  0.500  0.500
Ni  0.835  0.835  0.000
Ni  0.835  0.835  0.500

=====

Record 3
Crystalline La3Nd4Ni2 at its relaxed geometry, computed with PBE-GGA.

## Properties
Total moment (μB/atom): 0.00
Electronic total energy (Ry/atom): -0.3784

Cell lengths 8.628, 8.628, 9.514 Å; angles 114.42, 114.42, 25.33 degrees
Atoms (fractional coordinates):
La  0.000  0.000  0.000
La  0.358  0.358  0.612
La  0.642  0.642  0.388
Nd  0.091  0.091  0.687
Nd  0.316  0.316  0.944
Nd  0.684  0.684  0.056
Nd  0.909  0.909  0.313
Ni  0.264  0.264  0.297
Ni  0.736  0.736  0.703

=====

Record 4
Crystalline La3NdNi at its relaxed geometry, computed with PBE-GGA.

## Properties
Total moment (μB/atom): 0.00
Energy relative to the lowest polymorph listed for this composition (eV/f.u.): 0.00

Cell lengths 6.444, 6.444, 14.393 Å; angles 111.64, 111.64, 34.38 degrees
Atoms (fractional coordinates):
La  0.000  0.000  0.000
La  0.000  0.000  0.374
La  0.320  0.320  0.477
La  0.442  0.442  0.757
La  0.652  0.652  0.616
La  0.654  0.654  0.241
Nd  0.211  0.211  0.860
Nd  0.331  0.331  0.135
Ni  0.678  0.678  0.995
Ni  0.971  0.971  0.621

=====

Record 5
Crystalline LaNd2Ni at its relaxed geometry, computed with PBE-GGA.

## Properties
Total moment (μB/atom): 0.13
Energy relative to the lowest polymorph listed for this composition (eV/f.u.): 1.02

Cell lengths 10.866, 10.866, 10.866 Å; angles 19.69, 19.69, 19.69 degrees
Atoms (fractional coordinates):
La  0.000  0.000  0.000
Nd  0.112  0.112  0.112
Nd  0.888  0.888  0.888
Ni  0.500  0.500  0.500

=====

Record 6
Crystalline LaNd2Ni2 at its relaxed geometry, computed with PBE-GGA.

## Properties
Total moment (μB/atom): 0.00
Energy relative to the lowest polymorph listed for this composition (eV/f.u.): 0.00

Cell lengths 6.471, 6.471, 7.324 Å; angles 100.43, 100.43, 57.96 degrees
Atoms (fractional coordinates):
La  0.076  0.924  0.750
La  0.924  0.076  0.250
Nd  0.243  0.441  0.348
Nd  0.441  0.243  0.848
Nd  0.559  0.757  0.152
Nd  0.757  0.559  0.652
Ni  0.001  0.314  0.009
Ni  0.314  0.001  0.509
Ni  0.686  0.999  0.491
Ni  0.999  0.686  0.991